# 1
# meta-GGA SCAN Na8Cu5O10, PBEsol geometry
data_Na8Cu5O10
_cell_length_a 8.3195
_cell_length_b 13.8774
_cell_length_c 5.6371
_cell_angle_alpha 90.00
_cell_angle_beta 112.09
_cell_angle_gamma 90.00
_space_group_name_H-M_alt 'C 1 m 1'
_space_group_IT_number 8
_space_group_name_Hall 'C -2y'
loop_
_atom_site_label
_atom_site_fract_x
_atom_site_fract_y
_atom_site_fract_z
_atom_site_occupancy
Na1 0.0000 0.0000 0.0000 1
Na2 0.0101 0.2233 0.9998 1
Na3 0.0638 0.5000 0.0482 1
Na4 0.1833 0.3654 0.7348 1
Na5 0.2330 0.1115 0.7659 1
Cu1 0.3579 0.0997 0.3567 1
Cu2 0.3663 0.3005 0.3889 1
Cu3 0.3849 0.5000 0.4172 1
O1 0.3038 0.0000 0.1085 1
O2 0.3041 0.2061 0.1299 1
O3 0.3257 0.4030 0.1602 1
O4 0.4097 0.1963 0.6119 1
O5 0.4260 0.0000 0.6049 1
O6 0.4312 0.3949 0.6504 1
# Fermi-level density of states in states/eV per atom: 0.258
# Formation energy from raw total energies in eV per atom: -1.258
# Crystal system: monoclinic
# ρ in g cm⁻³: 3.64
# VASP energy in eV/cell: -401.9

# 2
# meta-GGA SCAN NaCu2O2, PBEsol geometry
data_NaCu2O2
_cell_length_a 6.0911
_cell_length_b 2.9323
_cell_length_c 13.1503
_cell_angle_alpha 90.00
_cell_angle_beta 90.00
_cell_angle_gamma 90.00
_space_group_name_H-M_alt 'P n m a'
_space_group_IT_number 62
_space_group_name_Hall '-P 2ac 2n'
loop_
_atom_site_label
_atom_site_fract_x
_atom_site_fract_y
_atom_site_fract_z
_atom_site_occupancy
Na1 0.1609 0.2500 0.0756 1
Cu1 0.0995 0.2500 0.7575 1
Cu2 0.1471 0.2500 0.3849 1
O1 0.0657 0.2500 0.6198 1
O2 0.1352 0.2500 0.8965 1
# Formation energy from raw total energies in eV per atom: -1.026
# Crystal system: orthorhombic
# ρ in g cm⁻³: 5.15
# VASP energy in eV/cell: -208.8